(1)
Compound: CsRh2I
Source: Alexandria via LeMat-Bulk
Functional: PBE-GGA
Structure: optimized geometry

Geometry as POSCAR:
```
CsRh2I
1.0
-2.678 2.678 8.699
2.678 -2.678 8.699
2.678 2.678 -8.699
Cs Rh I
2 4 2
Direct
0.000 0.000 0.000 Cs
0.750 0.250 0.500 Cs
0.317 0.125 0.692 Rh
0.375 0.683 0.808 Rh
0.433 0.625 0.308 Rh
0.875 0.567 0.192 Rh
0.250 0.750 0.500 I
0.500 0.500 0.000 I
```

Computed properties:
Formation energy (no corrections) = 1.08 eV per formula unit

***

(2)
Compound: Cs3RhI
Source: Alexandria via LeMat-Bulk
Functional: PBE-GGA
Structure: optimized geometry

Geometry as POSCAR:
```
Cs3RhI
1.0
6.206 0.000 0.000
0.000 6.206 0.000
0.000 0.000 6.206
Cs Rh I
3 1 1
Direct
0.000 0.000 0.500 Cs
0.000 0.500 0.000 Cs
0.500 0.000 0.000 Cs
0.000 0.000 0.000 Rh
0.500 0.500 0.500 I
```

Computed properties:
Formation energy (no corrections) = -1.16 eV per formula unit

***

Which of these has the lowest formation energy (no corrections)?
Cs3RhI

***

Number 1 is which compound?
CsRh2I

***

Among the records above, which one has the lowest formation energy (no corrections)?
Cs3RhI